## Hf2ScW (PBE)

Data for a relaxed structure of Hf2ScW.

a b c (Å): 4.8515 4.8515 4.8515
angles (deg): 60.00 60.00 60.00
Closest atoms and distances in Å follow each position.
Positions (direct):
W (0.0000, 0.0000, 0.0000)  8 Hf 2.97
Sc (0.5000, 0.5000, 0.5000)  8 Hf 2.97
Hf (0.7500, 0.7500, 0.7500)  4 Sc 2.97, 4 W 2.97
Hf (0.2500, 0.2500, 0.2500)  4 W 2.97, 4 Sc 2.97

Calculated values
space group = Fm-3m, No. 225
E_form = 0.131 eV per atom

---

## La2ErTe4 (PBE)

Data for a relaxed structure of La2ErTe4.

a b c (Å): 4.3042 7.8592 15.3538
angles (deg): 90.00 90.00 105.89
Closest atoms and distances in Å follow each position.
Positions (direct):
La (0.8683, 0.7366, 0.9266)  6 Te 3.14-3.33
La (0.8683, 0.7366, 0.5734)  6 Te 3.14-3.33
La (0.1317, 0.2634, 0.4266)  6 Te 3.14-3.33
La (0.1317, 0.2634, 0.0734)  6 Te 3.14-3.33
Te (0.7837, 0.5674, 0.1268)  2 Er 3.15, 3 La 3.25-3.33
Te (0.5000, 0.0000, 0.5000)  4 La 3.14
Te (0.2163, 0.4326, 0.8732)  2 Er 3.15, 3 La 3.25-3.33
Te (0.5000, 0.0000, 0.0000)  4 La 3.14
Te (0.9829, 0.9657, 0.7500)  2 Er 3.09, 2 La 3.22
Te (0.0171, 0.0343, 0.2500)  2 Er 3.09, 2 La 3.22
Te (0.2163, 0.4326, 0.6268)  2 Er 3.15, 3 La 3.25-3.33
Te (0.7837, 0.5674, 0.3732)  2 Er 3.15, 3 La 3.25-3.33
Er (0.3704, 0.7408, 0.2500)  6 Te 3.09-3.15
Er (0.6296, 0.2592, 0.7500)  6 Te 3.09-3.15

Calculated values
space group = Cmcm, No. 63
uncorrected formation energy = -1430 meV per atom

---

no.,calculated volume (Å³/atom),mass density (Mg/m³),magnetic moment (μB/atom)
1,20.186,12.0,0.00
2,35.681,6.4,0.00